Record 1
Crystalline MgZrReBi2 at its relaxed geometry, computed with PBE-GGA.

Unit cell a=5.642 b=4.991 c=5.642 alpha=90.00 beta=90.00 gamma=90.00
Site moments in Bohr magnetons follow the coordinates.
Positions (direct):
Re: 0.000 0.500 0.000  1.69
Mg: 0.500 0.500 0.500  -0.02
Bi: 0.000 0.000 0.500  -0.09
Bi: 0.500 0.000 0.000  0.00
Zr: 0.000 0.000 0.000  -0.11

Properties
**E_tot**: -24.70 eV/cell
**Density**: 7.52 g cm⁻³


Record 2
Crystalline Pm5PrY2Er at its relaxed geometry, computed with PBE-GGA.

Unit cell a=5.723 b=10.552 c=10.644 alpha=90.00 beta=90.00 gamma=105.73
Positions (direct):
Pm: 0.387 0.775 0.023
Pm: 0.719 0.438 0.813
Pm: 0.480 0.960 0.741
Pm: 0.297 0.594 0.707
Pm: 0.982 0.964 0.522
Pm: 0.613 0.225 0.523
Pm: 0.281 0.562 0.313
Pm: 0.520 0.040 0.241
Pm: 0.703 0.406 0.207
Pm: 0.018 0.036 0.022
Pr: 0.587 0.174 0.955
Pr: 0.413 0.826 0.455
Y: 0.884 0.768 0.820
Y: 0.113 0.227 0.733
Y: 0.116 0.232 0.320
Y: 0.887 0.773 0.233
Er: 0.800 0.600 0.511
Er: 0.200 0.400 0.011

Properties
**E_tot**: -89.41 eV/cell
**Density**: 6.50 g cm⁻³


Record 3
Crystalline TiCu5S4 at its relaxed geometry, computed with PBE-GGA.

Unit cell a=5.433 b=7.747 c=7.881 alpha=90.00 beta=90.00 gamma=90.00
Site moments in Bohr magnetons follow the coordinates.
Positions (direct):
Ti: 0.786 0.000 0.000  0.73
Ti: 0.214 0.500 0.500  0.73
Cu: 0.252 0.754 0.766  0.01
Cu: 0.252 0.246 0.766  0.01
Cu: 0.721 0.500 0.000  0.00
Cu: 0.252 0.754 0.234  0.01
Cu: 0.252 0.246 0.234  0.01
Cu: 0.748 0.746 0.266  0.01
Cu: 0.748 0.254 0.266  0.01
Cu: 0.279 0.000 0.500  0.00
Cu: 0.748 0.254 0.734  0.01
Cu: 0.748 0.746 0.734  0.01
S: 0.991 0.000 0.737  -0.01
S: 0.511 0.760 0.000  -0.01
S: 0.511 0.240 0.000  -0.01
S: 0.991 0.000 0.263  -0.01
S: 0.009 0.500 0.237  -0.01
S: 0.489 0.740 0.500  -0.01
S: 0.489 0.260 0.500  -0.01
S: 0.009 0.500 0.763  -0.01

Properties
**E_tot**: -96.87 eV/cell
**Density**: 4.94 g cm⁻³
**Uncorrected formation energy**: -8.19 kcal/mol of atoms


One value per record, in order, for DOS at the Fermi energy: 4.418 29.225 9.310 states/eV/cell.